No. 1
An optimized crystal structure of AcSmMgPd, computed with GGA-PBE.

```
AcSmMgPd
1.0
7.672 0.000 0.000
0.000 7.672 0.000
0.000 0.000 7.672
Ac Sm Mg Pd
4 4 4 4
Direct
0.000 0.000 0.000 Ac
0.000 0.500 0.500 Ac
0.500 0.000 0.500 Ac
0.500 0.500 0.000 Ac
0.000 0.000 0.500 Sm
0.000 0.500 0.000 Sm
0.500 0.000 0.000 Sm
0.500 0.500 0.500 Sm
0.250 0.250 0.750 Mg
0.250 0.750 0.250 Mg
0.750 0.250 0.250 Mg
0.750 0.750 0.750 Mg
0.250 0.250 0.250 Pd
0.250 0.750 0.750 Pd
0.750 0.250 0.750 Pd
0.750 0.750 0.250 Pd
```

Calculated values
As for the total DFT energy (no corrections): -4.198 eV per atom. Its calculated density is 7.47 g cm⁻³. For the formation energy, the calculation gives -0.295 eV/atom.



No. 2
An optimized crystal structure of La4GeRuI2, computed with GGA-PBE.

```
La4GeRuI2
1.0
7.679 0.000 0.000
0.000 4.320 0.000
-2.407 0.000 8.069
La Ge Ru I
4 1 1 2
Direct
0.221 0.000 0.191 La
0.243 0.500 0.815 La
0.757 0.500 0.185 La
0.779 0.000 0.809 La
0.500 0.000 0.000 Ge
0.000 0.500 0.000 Ru
0.000 0.000 0.500 I
0.500 0.500 0.500 I
```

Calculated values
As for the total DFT energy (no corrections): -5.523 eV per atom. Its calculated density is 6.10 g cm⁻³. The formation energy without anion corrections comes out at -0.93 eV/atom.



No. 3
An optimized crystal structure of KGaGe, computed with GGA-PBE.

```
KGaGe
1.0
4.766 0.000 0.000
-2.383 4.128 0.000
0.000 0.000 7.487
K Ga Ge
2 2 2
Direct
0.000 0.000 0.000 K
0.000 0.000 0.500 K
0.667 0.333 0.198 Ga
0.667 0.333 0.802 Ga
0.333 0.667 0.301 Ge
0.333 0.667 0.699 Ge
```

Calculated values
As for the total DFT energy (no corrections): -2.881 eV per atom. Its calculated density is 4.09 g cm⁻³. For the formation energy, the calculation gives 0.033 eV/atom.



No. 4
An optimized crystal structure of Bi2MoI, computed with GGA-PBE.

```
Bi2MoI
1.0
7.036 0.000 0.000
0.000 7.036 0.000
0.000 0.000 13.362
Bi Mo I
8 4 4
Direct
0.151 0.250 0.125 Bi
0.250 0.651 0.375 Bi
0.250 0.849 0.875 Bi
0.349 0.250 0.625 Bi
0.651 0.750 0.625 Bi
0.750 0.151 0.875 Bi
0.750 0.349 0.375 Bi
0.849 0.750 0.125 Bi
0.000 0.000 0.000 Mo
0.000 0.500 0.250 Mo
0.500 0.000 0.750 Mo
0.500 0.500 0.500 Mo
0.000 0.000 0.500 I
0.000 0.500 0.750 I
0.500 0.000 0.250 I
0.500 0.500 0.000 I
```

Calculated values
As for the energy above the most stable polymorph in this dataset: 0.000 eV/atom. As for the total DFT energy (no corrections): -4.282 eV per atom. Its calculated density is 6.43 g cm⁻³. The formation energy without anion corrections comes out at 0.75 eV/atom.



No. 5
An optimized crystal structure of Be2GaTcPd, computed with GGA-PBE.

```
Be2GaTcPd
1.0
4.257 0.000 0.000
0.000 4.257 0.000
0.000 0.000 4.825
Be Ga Tc Pd
2 1 1 1
Direct
0.000 0.500 0.000 Be
0.500 0.000 0.000 Be
0.000 0.000 0.500 Ga
0.500 0.500 0.000 Tc
0.500 0.500 0.500 Pd
```

Calculated values
As for the total DFT energy (no corrections): -4.200 eV per atom. Its calculated density is 5.55 g cm⁻³. For the formation energy, the calculation gives 1.008 eV/atom.



No. 6
An optimized crystal structure of LiHgMo2, computed with GGA-PBE.

```
LiHgMo2
1.0
5.154 0.000 0.000
0.000 9.630 0.000
-0.648 0.000 2.659
Li Hg Mo
2 2 4
Direct
0.000 0.000 0.000 Li
0.500 0.500 0.000 Li
0.000 0.500 0.000 Hg
0.500 0.000 0.000 Hg
0.250 0.250 0.500 Mo
0.250 0.750 0.500 Mo
0.750 0.250 0.500 Mo
0.750 0.750 0.500 Mo
```

Calculated values
As for the total DFT energy (no corrections): -5.566 eV per atom. Its calculated density is 10.05 g cm⁻³. For the formation energy, the calculation gives 0.404 eV/atom.



Copy entry 2 word for word.
An optimized crystal structure of La4GeRuI2, computed with GGA-PBE.

```
La4GeRuI2
1.0
7.679 0.000 0.000
0.000 4.320 0.000
-2.407 0.000 8.069
La Ge Ru I
4 1 1 2
Direct
0.221 0.000 0.191 La
0.243 0.500 0.815 La
0.757 0.500 0.185 La
0.779 0.000 0.809 La
0.500 0.000 0.000 Ge
0.000 0.500 0.000 Ru
0.000 0.000 0.500 I
0.500 0.500 0.500 I
```

Calculated values
As for the total DFT energy (no corrections): -5.523 eV per atom. Its calculated density is 6.10 g cm⁻³. The formation energy without anion corrections comes out at -0.93 eV/atom.